[1]
Here is a relaxed TiVFe2O6 crystal from the Alexandria database. Energies are from PBE+U.

Values from the calculation:
The total energy comes out at -76.89 eV per cell.

Lattice parameters (Å, degrees): 5.1636 5.1850 5.6175 60.66 61.12 60.60
Site moments in Bohr magnetons follow the coordinates.
Element x y z (fractional)
Ti (0.3071, 0.3254, 0.0716)  0.07
V (0.8144, 0.8299, 0.5597)  1.08
Fe (0.5226, 0.5229, 0.4302)  3.75
Fe (0.0265, 0.0329, 0.9230)  3.75
O (0.5816, 0.1930, 0.2631)  0.02
O (0.1980, 0.9548, 0.2526)  0.03
O (0.9472, 0.5953, 0.2550)  0.03
O (0.4563, 0.6864, 0.7602)  0.03
O (0.7103, 0.0723, 0.7526)  -0.04
O (0.0976, 0.4487, 0.7471)  0.04

[2]
Here is a relaxed TiV2FeO6 crystal from the Alexandria database. Energies are from PBE+U.

Values from the calculation:
The total energy comes out at -80.34 eV per cell.

Lattice parameters (Å, degrees): 5.1419 5.1492 5.6154 61.27 62.02 60.78
Site moments in Bohr magnetons follow the coordinates.
Element x y z (fractional)
Ti (0.3150, 0.3157, 0.0635)  0.12
V (0.5159, 0.5122, 0.4546)  1.91
V (0.0103, 0.0157, 0.9528)  1.91
Fe (0.8069, 0.8133, 0.5746)  3.76
O (0.5933, 0.2417, 0.2375)  0.01
O (0.2284, 0.9253, 0.2399)  0.00
O (0.9333, 0.5973, 0.2321)  0.00
O (0.4087, 0.7131, 0.7459)  0.01
O (0.7185, 0.1298, 0.7573)  -0.01
O (0.1315, 0.3975, 0.7572)  -0.01

Q: What is the formula in the first record?
A: TiVFe2O6

Repeat the second record exactly.
Here is a relaxed TiV2FeO6 crystal from the Alexandria database. Energies are from PBE+U.

Values from the calculation:
The total energy comes out at -80.34 eV per cell.

Lattice parameters (Å, degrees): 5.1419 5.1492 5.6154 61.27 62.02 60.78
Site moments in Bohr magnetons follow the coordinates.
Element x y z (fractional)
Ti (0.3150, 0.3157, 0.0635)  0.12
V (0.5159, 0.5122, 0.4546)  1.91
V (0.0103, 0.0157, 0.9528)  1.91
Fe (0.8069, 0.8133, 0.5746)  3.76
O (0.5933, 0.2417, 0.2375)  0.01
O (0.2284, 0.9253, 0.2399)  0.00
O (0.9333, 0.5973, 0.2321)  0.00
O (0.4087, 0.7131, 0.7459)  0.01
O (0.7185, 0.1298, 0.7573)  -0.01
O (0.1315, 0.3975, 0.7572)  -0.01

Q: Which of these has the lowest total energy?
A: TiV2FeO6